Entry from Alexandria: a relaxed Na2CuTcN crystal (GGA-PBEsol).

a b c (Å): 3.396 5.424 5.424
angles (deg): 90.00 90.00 90.00
Positions (direct):
Na  0.000  0.000  0.500
Cu  0.000  0.000  0.000
Na  0.000  0.500  0.000
N  0.500  0.000  0.000
Tc  0.500  0.500  0.500

Computed properties:
Fermi-level density of states = 0.91 states/eV per atom
M_tot = 4.063 μB/cell
formation energy without anion corrections = 1.2577 eV/atom
E = -4.128 eV/atom

---

Entry from Alexandria: a relaxed Na2Sn2Pb crystal (GGA-PBEsol).

a b c (Å): 3.534 8.697 8.697
angles (deg): 90.00 90.00 90.00
Positions (direct):
Sn  0.000  0.618  0.118
Pb  0.000  0.500  0.500
Na  0.500  0.181  0.681
Na  0.500  0.681  0.819
Sn  0.000  0.118  0.382
Pb  0.000  0.000  0.000
Na  0.500  0.319  0.181
Sn  0.000  0.882  0.618
Sn  0.000  0.382  0.882
Na  0.500  0.819  0.319

Computed properties:
Fermi-level density of states = 0.31 states/eV per atom
M_tot = 0.000 μB/cell
E = -3.165 eV/atom

---

Entry from Alexandria: a relaxed MnAlCu crystal (GGA-PBEsol).

a b c (Å): 2.740 2.738 5.302
angles (deg): 104.96 104.97 90.00
Positions (direct):
Cu  0.667  0.667  0.333
Mn  0.333  0.333  0.667
Al  0.000  0.000  0.000

Computed properties:
Fermi-level density of states = 0.43 states/eV per atom
M_tot = 2.395 μB/cell
E = -6.123 eV/atom

---

Entry from Alexandria: a relaxed K2CuPSe crystal (GGA-PBEsol).

a b c (Å): 4.067 6.059 6.059
angles (deg): 90.00 90.00 90.00
Positions (direct):
K  0.000  0.500  0.000
Cu  0.000  0.000  0.000
P  0.500  0.000  0.000
Se  0.500  0.500  0.500
K  0.000  0.000  0.500

Computed properties:
Fermi-level density of states = 0.71 states/eV per atom
M_tot = 0.002 μB/cell
formation energy without anion corrections = -0.1271 eV/atom
E = -3.376 eV/atom